A plane-wave DFT calculation with PBEsol was carried out for SrPtNO2 after structural relaxation.

Results
Electronic total energy   -6.4018 eV/atom
E_form (uncorrected)   -0.836 eV/atom
Symmetry   P4/mmm, No. 123

Unit cell a=3.690 b=4.185 c=4.185 alpha=90.00 beta=90.00 gamma=90.00
Sites, in units of the cell vectors:
Sr  0.500  0.500  0.500
O  0.000  0.000  0.500
O  0.000  0.500  0.000
Pt  0.000  0.000  0.000
N  0.500  0.000  0.000


A plane-wave DFT calculation with PBEsol was carried out for ScTc2Br after structural relaxation.

Results
Electronic total energy   -7.1618 eV/atom
E_form (uncorrected)   0.590 eV/atom
Energy above the lowest structure with this stoichiometry   1.49 eV per formula unit
Symmetry   Cmmm, No. 65

Unit cell a=2.898 b=2.898 c=8.787 alpha=90.00 beta=90.00 gamma=115.41
Sites, in units of the cell vectors:
Br  0.500  0.500  0.500
Sc  0.500  0.500  0.000
Tc  0.000  0.000  0.247
Tc  0.000  0.000  0.753


A plane-wave DFT calculation with PBEsol was carried out for BaSrSb2 after structural relaxation.

Results
Electronic total energy   -4.1852 eV/atom
E_form (uncorrected)   -0.909 eV/atom
Energy above the lowest structure with this stoichiometry   0.00 eV per formula unit
Symmetry   Cm, No. 8

Unit cell a=4.709 b=5.054 c=6.630 alpha=99.28 beta=110.80 gamma=90.00
Sites, in units of the cell vectors:
Sb  0.029  0.166  0.058
Sb  0.217  0.588  0.435
Ba  0.755  0.118  0.509
Sr  0.499  0.628  0.998